Here is Li2NiF4 after structural relaxation from the Alexandria database. Energies are from PBE+U.

a = 5.9375 Å, b = 5.9375 Å, c = 5.9375 Å
α = 120.68°, β = 119.02°, γ = 90.26°
With the nearest neighbours (Å) after each atom.
Fractional coordinates of all 14 atoms:
F 0.7219 0.7379 0.9839  3 Li 1.92-2.04, 1 Ni 2.00
F 0.2525 0.2681 0.5156  2 Li 1.94-2.08, 2 Ni 2.04
F 0.2525 0.7369 0.9844  2 Li 1.94-2.08, 2 Ni 2.04
F 0.2781 0.2621 0.0161  3 Li 1.92-2.04, 1 Ni 2.00
F 0.7475 0.7319 0.4844  2 Li 1.94-2.08, 2 Ni 2.04
F 0.7475 0.2631 0.0156  2 Li 1.94-2.08, 2 Ni 2.04
F 0.2540 0.7379 0.5161  3 Li 1.92-2.04, 1 Ni 2.00
F 0.7460 0.2621 0.4839  3 Li 1.92-2.04, 1 Ni 2.00
Li 0.1141 0.8641 0.2500  4 F 1.92-1.94
Li 0.5000 0.5000 0.5000  6 F 2.04-2.08
Li 0.5000 0.0000 0.0000  6 F 2.04-2.08
Li 0.8859 0.1359 0.7500  4 F 1.92-1.94
Ni 0.0000 0.5000 0.5000  6 F 2.00-2.04
Ni 0.5000 0.5000 0.0000  6 F 2.00-2.04

Properties
Crystal system: orthorhombic
Space-group type: Imma (74)
Calculated total energy: -64.58 eV per cell